# 1
This record from Alexandria via LeMat-Bulk describes a relaxed structure of Ag3OsW. The functional is PBE.

Cell: 4.9917 4.9917 4.9917 Å, 90.00 90.00 90.00°
Positions (direct):
Os 0.0000 0.0000 0.0000
W 0.5000 0.5000 0.5000
Ag 0.0000 0.5000 0.0000
Ag 0.5000 0.0000 0.0000
Ag 0.0000 0.0000 0.5000

The crystal system is cubic. The calculation puts the energy relative to the elements at 2428 meV/atom. For the total energy, the calculation gives -20.60 eV/cell. For the energy above the most stable polymorph in this dataset, the calculation gives 0 meV/atom.



# 2
This record from Alexandria via LeMat-Bulk describes a relaxed structure of AgOs2W. The functional is PBE.

Cell: 4.4515 4.4515 4.4515 Å, 60.00 60.00 60.00°
Positions (direct):
Os 0.0000 0.0000 0.0000
Os 0.7500 0.7500 0.7500
W 0.2500 0.2500 0.2500
Ag 0.5000 0.5000 0.5000

The crystal system is cubic. The calculation puts the energy relative to the elements at 845 meV/atom. For the total energy, the calculation gives -34.88 eV/cell. For the energy above the most stable polymorph in this dataset, the calculation gives 553 meV/atom.



# 3
This record from Alexandria via LeMat-Bulk describes a relaxed structure of Ag2Os2W. The functional is PBE.

Cell: 3.5134 3.5134 7.4550 Å, 76.37 76.37 90.00°
Positions (direct):
Ag 0.7500 0.2500 0.5000
Ag 0.2500 0.7500 0.5000
Os 0.5890 0.5890 0.8219
Os 0.4110 0.4110 0.1781
W 0.0000 0.0000 0.0000

The crystal system is tetragonal. The calculation puts the energy relative to the elements at 1088 meV/atom. For the total energy, the calculation gives -35.67 eV/cell. For the energy above the most stable polymorph in this dataset, the calculation gives 143 meV/atom.



# 4
This record from Alexandria via LeMat-Bulk describes a relaxed structure of Ag4OsW. The functional is PBE.

Cell: 5.2276 5.2276 5.2276 Å, 60.00 60.00 60.00°
Positions (direct):
Ag 0.8746 0.3751 0.3751
Ag 0.3751 0.3751 0.8746
Ag 0.3751 0.3751 0.3751
Ag 0.3751 0.8746 0.3751
Os 0.7500 0.7500 0.7500
W 0.0000 0.0000 0.0000

The crystal system is cubic. The calculation puts the energy relative to the elements at 1010 meV/atom. For the total energy, the calculation gives -29.53 eV/cell.



# 5
This record from Alexandria via LeMat-Bulk describes a relaxed structure of AgOs2W. The functional is PBE.

Cell: 2.8165 4.7528 4.6586 Å, 90.00 90.00 90.00°
Positions (direct):
W 0.5000 0.0000 0.5000
Os 0.5000 0.5000 0.0000
Os 0.0000 0.0000 0.0000
Ag 0.0000 0.5000 0.5000

The crystal system is orthorhombic. The calculation puts the energy relative to the elements at 802 meV/atom. For the total energy, the calculation gives -35.05 eV/cell. For the energy above the most stable polymorph in this dataset, the calculation gives 511 meV/atom.



# 6
This record from Alexandria via LeMat-Bulk describes a relaxed structure of AgOs2W. The functional is PBE.

Cell: 4.7513 4.7513 4.7513 Å, 130.02 130.02 73.37°
Positions (direct):
Ag 0.7500 0.2500 0.5000
W 0.2500 0.7500 0.5000
Os 0.0000 0.0000 0.0000
Os 0.5000 0.5000 0.0000

The crystal system is tetragonal. The calculation puts the energy relative to the elements at 511 meV/atom. For the total energy, the calculation gives -36.22 eV/cell. For the energy above the most stable polymorph in this dataset, the calculation gives 220 meV/atom.



# 7
This record from Alexandria via LeMat-Bulk describes a relaxed structure of AgOs2W. The functional is PBE.

Cell: 2.7967 3.8866 5.7024 Å, 90.00 90.00 90.00°
Positions (direct):
W 0.5000 0.5000 0.2500
Os 0.0000 0.0000 0.0136
Os 0.0000 0.0000 0.4864
Ag 0.5000 0.5000 0.7500

The crystal system is orthorhombic. The calculation puts the energy relative to the elements at 485 meV/atom. For the total energy, the calculation gives -36.32 eV/cell. For the energy above the most stable polymorph in this dataset, the calculation gives 194 meV/atom.



# 8
This record from Alexandria via LeMat-Bulk describes a relaxed structure of Ag2OsW. The functional is PBE.

Cell: 4.5142 4.5142 4.5142 Å, 60.00 60.00 60.00°
Positions (direct):
W 0.2500 0.2500 0.2500
Ag 0.7500 0.7500 0.7500
Ag 0.0000 0.0000 0.0000
Os 0.5000 0.5000 0.5000

The crystal system is cubic. The calculation puts the energy relative to the elements at 747 meV/atom. For the total energy, the calculation gives -26.90 eV/cell. For the energy above the most stable polymorph in this dataset, the calculation gives 460 meV/atom.